1.
This record from the Alexandria database describes crystalline Sc2MoOs at its relaxed geometry. The functional is PBE.

Calculated values
space group = I4/mmm (139)
calculated formation energy = 141.0 meV per atom

Cell: 5.2655 5.2655 5.2655 Å, 135.56 135.56 64.66°
Closest atoms and distances in Å follow each position.
Atoms (fractional coordinates):
Mo1 0.2500 0.7500 0.5000  4 Os 2.82, 8 Sc 2.99
Sc1 0.5000 0.5000 0.0000  4 Sc 2.82, 4 Os 2.99, 4 Mo 2.99
Sc2 0.0000 0.0000 0.0000  4 Sc 2.82, 4 Mo 2.99, 4 Os 2.99
Os1 0.7500 0.2500 0.5000  4 Mo 2.82, 8 Sc 2.99

***

2.
This record from the Alexandria database describes crystalline PtCS2 at its relaxed geometry. The functional is PBE.

Calculated values
space group = R-3m (166)
formation energy from raw total energies = 1.08 eV per atom

Cell: 7.1119 7.1119 7.1119 Å, 24.82 24.82 24.82°
Closest atoms and distances in Å follow each position.
Atoms (fractional coordinates):
S1 0.8909 0.8909 0.8909  3 C 2.13, 1 Pt 2.25
C1 0.5000 0.5000 0.5000  6 S 2.13
S2 0.1091 0.1091 0.1091  3 C 2.13, 1 Pt 2.25
Pt1 0.0000 0.0000 0.0000  2 S 2.25

***

3.
This record from the Alexandria database describes crystalline KAsSeBr2 at its relaxed geometry. The functional is PBE.

Calculated values
space group = P4/mmm (123)
formation energy from raw total energies = 0.66 eV per atom

Cell: 5.7291 5.7291 5.9267 Å, 90.00 90.00 90.00°
Closest atoms and distances in Å follow each position.
Atoms (fractional coordinates):
Br1 0.5000 0.0000 0.0000  2 K 2.86
Br2 0.0000 0.5000 0.0000  2 K 2.86
As1 0.5000 0.5000 0.5000  4 Se 4.05, 8 Br 4.12
K1 0.0000 0.0000 0.0000  4 Br 2.86, 2 Se 2.96
Se1 0.0000 0.0000 0.5000  2 K 2.96

***

4.
This record from the Alexandria database describes crystalline Ba2CaAg6 at its relaxed geometry. The functional is PBE.

Calculated values
space group = P6/mmm (191)
calculated formation energy = -245.7 meV per atom

Cell: 4.0321 8.5193 8.5193 Å, 120.00 90.00 90.00°
Closest atoms and distances in Å follow each position.
Atoms (fractional coordinates):
Ag1 0.5000 0.6727 0.0000  3 Ag 2.79-2.94
Ag2 0.5000 0.0000 0.3273  3 Ag 2.79-2.94
Ca1 0.0000 0.0000 0.0000  12 Ag 3.44
Ba1 0.0000 0.6667 0.3333  12 Ag 3.50
Ag3 0.5000 0.0000 0.6727  3 Ag 2.79-2.94
Ag4 0.5000 0.3273 0.3273  3 Ag 2.79-2.94
Ag5 0.5000 0.3273 0.0000  3 Ag 2.79-2.94
Ba2 0.0000 0.3333 0.6667  12 Ag 3.50
Ag6 0.5000 0.6727 0.6727  3 Ag 2.79-2.94

***

5.
This record from the Alexandria database describes crystalline Ce4Tm3ScS8 at its relaxed geometry. The functional is PBE.

Calculated values
space group = R-3m (166)
formation energy from raw total energies = -1.99 eV per atom

Cell: 7.7628 7.8968 7.7628 Å, 119.44 120.00 90.00°
Closest atoms and distances in Å follow each position.
Atoms (fractional coordinates):
S1 0.7442 0.7327 0.4885  3 Tm 2.70, 3 Ce 2.84
Ce1 0.0000 0.0000 0.0000  6 S 2.84
S2 0.7593 0.2704 0.0111  1 Sc 2.66, 2 Tm 2.71, 3 Ce 2.84-2.88
S3 0.2407 0.7296 0.9889  1 Sc 2.66, 2 Tm 2.71, 3 Ce 2.84-2.88
S4 0.2558 0.2673 0.5115  3 Tm 2.70, 3 Ce 2.84
S5 0.7482 0.7296 0.9889  1 Sc 2.66, 2 Tm 2.71, 3 Ce 2.84-2.88
Sc1 0.0000 0.5000 0.0000  6 S 2.66
Ce2 0.0000 0.0000 0.5000  6 S 2.84
Tm1 0.0000 0.5000 0.5000  6 S 2.70-2.71
S6 0.2407 0.7296 0.4814  1 Sc 2.66, 2 Tm 2.71, 3 Ce 2.84-2.88
S7 0.2518 0.2704 0.0111  1 Sc 2.66, 2 Tm 2.71, 3 Ce 2.84-2.88
S8 0.7593 0.2704 0.5187  1 Sc 2.66, 2 Tm 2.71, 3 Ce 2.84-2.88
Ce3 0.5000 0.0000 0.0000  6 S 2.88
Tm2 0.5000 0.5000 0.0000  6 S 2.70-2.71
Tm3 0.5000 0.5000 0.5000  6 S 2.70-2.71
Ce4 0.5000 0.0000 0.5000  6 S 2.84

***

6.
This record from the Alexandria database describes crystalline Dy4Cd5In at its relaxed geometry. The functional is PBE.

Calculated values
space group = C2/m (12)
calculated formation energy = -329.6 meV per atom

Cell: 5.1676 6.4738 8.2393 Å, 103.99 108.28 90.00°
Closest atoms and distances in Å follow each position.
Atoms (fractional coordinates):
In1 0.5000 0.0000 0.0000  6 Dy 3.18-3.20, 2 Cd 3.24
Dy1 0.9030 0.1254 0.8061  6 Cd 3.10-3.38, 2 In 3.20
Cd1 0.2931 0.1802 0.5862  7 Dy 3.17-3.28, 3 Cd 3.37-3.51
Dy2 0.0970 0.8746 0.1939  6 Cd 3.10-3.38, 2 In 3.20
Cd2 0.5000 0.5000 0.0000  6 Cd 3.17-3.37, 2 In 3.24, 2 Dy 3.51
Dy3 0.6926 0.3159 0.3852  7 Cd 3.08-3.32, 1 In 3.18
Dy4 0.3074 0.6841 0.6148  7 Cd 3.08-3.32, 1 In 3.18
Cd3 0.7069 0.8198 0.4138  7 Dy 3.17-3.28, 3 Cd 3.37-3.51
Cd4 0.9011 0.6024 0.8021  6 Dy 3.08-3.38, 2 Cd 3.17
Cd5 0.0989 0.3976 0.1979  6 Dy 3.08-3.38, 2 Cd 3.17

***

7.
This record from the Alexandria database describes crystalline Ba2MgPtAu at its relaxed geometry. The functional is PBE.

Calculated values
space group = P4/mmm (123)
calculated formation energy = -486.1 meV per atom

Cell: 6.0774 6.0774 5.0382 Å, 90.00 90.00 90.00°
Closest atoms and distances in Å follow each position.
Atoms (fractional coordinates):
Pt1 0.0000 0.0000 0.0000  2 Mg 2.52
Mg1 0.0000 0.0000 0.5000  2 Pt 2.52
Ba1 0.5000 0.0000 0.0000  2 Pt 3.04
Ba2 0.0000 0.5000 0.0000  2 Pt 3.04
Au1 0.5000 0.5000 0.5000  8 Ba 3.95, 4 Mg 4.30

***

8.
This record from the Alexandria database describes crystalline ZrAuCl3 at its relaxed geometry. The functional is PBE.

Calculated values
space group = Pm-3m (221)
formation energy from raw total energies = 0.19 eV per atom

Cell: 5.1037 5.1037 5.1037 Å, 90.00 90.00 90.00°
Closest atoms and distances in Å follow each position.
Atoms (fractional coordinates):
Zr1 0.5000 0.5000 0.5000  12 Cl 3.61
Cl1 0.5000 0.0000 0.0000  2 Au 2.55
Au1 0.0000 0.0000 0.0000  6 Cl 2.55
Cl2 0.0000 0.0000 0.5000  2 Au 2.55
Cl3 0.0000 0.5000 0.0000  2 Au 2.55

***

9.
This record from the Alexandria database describes crystalline PtPb2Br at its relaxed geometry. The functional is PBE.

Calculated values
space group = P4/mmm (123)
formation energy from raw total energies = -0.08 eV per atom

Cell: 5.4591 5.4583 3.3721 Å, 90.00 90.00 90.00°
Closest atoms and distances in Å follow each position.
Atoms (fractional coordinates):
Pb1 0.5000 0.5000 0.0000  4 Pt 3.21, 4 Br 3.21, 2 Pb 3.37
Br1 0.0000 0.5000 0.5000  8 Pb 3.21, 2 Br 3.37
Pb2 0.0000 0.0000 0.0000  4 Br 3.21, 4 Pt 3.21, 2 Pb 3.37
Pt1 0.5000 0.0000 0.5000  8 Pb 3.21, 2 Pt 3.37

***

10.
This record from the Alexandria database describes crystalline BaSr5Pt3 at its relaxed geometry. The functional is PBE.

Calculated values
space group = P2/m (10)
calculated formation energy = -662.5 meV per atom

Cell: 4.5256 7.1363 21.7425 Å, 89.07 90.00 90.00°
Closest atoms and distances in Å follow each position.
Atoms (fractional coordinates):
Sr1 0.5000 0.2164 0.6051  3 Pt 3.03-3.06
Sr2 0.0000 0.7336 0.8914  3 Pt 3.04-3.06
Ba1 0.0000 0.7343 0.2230  3 Pt 3.13-3.15
Pt1 0.5000 0.5000 0.5000  6 Sr 3.03-3.05
Pt2 0.0000 0.0090 0.3350  5 Sr 3.04-3.06, 1 Ba 3.15
Sr3 0.5000 0.2330 0.9459  3 Pt 3.03-3.05
Sr4 0.5000 0.2373 0.2775  3 Pt 3.04-3.05
Pt3 0.0000 0.9910 0.6650  5 Sr 3.04-3.06, 1 Ba 3.15
Pt4 0.5000 0.4935 0.1636  4 Sr 3.04-3.05, 2 Ba 3.13
Sr5 0.5000 0.7670 0.0541  3 Pt 3.03-3.05
Sr6 0.0000 0.2664 0.1086  3 Pt 3.04-3.06
Sr7 0.5000 0.7627 0.7225  3 Pt 3.04-3.05
Sr8 0.0000 0.2801 0.4414  3 Pt 3.04-3.05
Sr9 0.5000 0.7836 0.3949  3 Pt 3.03-3.06
Pt5 0.5000 0.5065 0.8364  4 Sr 3.04-3.05, 2 Ba 3.13
Pt6 0.0000 0.0000 0.0000  6 Sr 3.03-3.06
Ba2 0.0000 0.2657 0.7770  3 Pt 3.13-3.15
Sr10 0.0000 0.7199 0.5586  3 Pt 3.04-3.05

***

11.
This record from the Alexandria database describes crystalline Sm2ErBi at its relaxed geometry. The functional is PBE.

Calculated values
space group = P4/mmm (123)
calculated formation energy = -382.8 meV per atom

Cell: 4.2743 4.2743 6.8001 Å, 90.00 90.00 90.00°
Closest atoms and distances in Å follow each position.
Atoms (fractional coordinates):
Sm1 0.0000 0.0000 0.2606  2 Sm 3.26-3.54, 4 Bi 3.43, 4 Er 3.50
Sm2 0.0000 0.0000 0.7394  2 Sm 3.26-3.54, 4 Bi 3.43, 4 Er 3.50
Er1 0.5000 0.5000 0.0000  2 Bi 3.40, 8 Sm 3.50
Bi1 0.5000 0.5000 0.5000  2 Er 3.40, 8 Sm 3.43

***

12.
This record from the Alexandria database describes crystalline La2NdHo5Sc at its relaxed geometry. The functional is PBE.

Calculated values
space group = Cmc2_1 (36)
calculated formation energy = 157.1 meV per atom

Cell: 5.6158 10.2662 10.5389 Å, 90.00 90.00 105.87°
Closest atoms and distances in Å follow each position.
Atoms (fractional coordinates):
Ho1 0.6243 0.2486 0.5182  1 Sc 3.50, 4 La 3.55-3.61, 4 Ho 3.62-3.74
Ho2 0.2958 0.5915 0.7034  4 Ho 3.39-3.72, 1 Nd 3.44, 3 Sc 3.45-3.79, 3 La 3.52-3.57
La1 0.1158 0.2316 0.7330  1 Sc 3.38, 7 Ho 3.44-3.63, 2 Nd 3.74
Ho3 0.2773 0.5545 0.3212  1 Nd 3.06, 1 La 3.22, 2 Ho 3.39
La2 0.8859 0.7719 0.8135  8 Ho 3.22-3.55, 1 Sc 3.58
Ho4 0.4833 0.9665 0.7401  2 Nd 3.11-3.25
Sc1 0.8013 0.6026 0.5132  2 La 3.38-3.58, 7 Ho 3.45-3.61, 2 Nd 3.61
Ho5 0.7042 0.4085 0.2034  4 Ho 3.39-3.72, 1 Nd 3.44, 3 Sc 3.45-3.79, 3 La 3.52-3.57
Nd1 0.4128 0.8257 0.4615  5 Ho 3.06-3.25
Ho6 0.3757 0.7514 0.0182  1 Sc 3.50, 4 La 3.55-3.61, 4 Ho 3.62-3.74
Nd2 0.5872 0.1743 0.9615  5 Ho 3.06-3.25
Ho7 0.7227 0.4455 0.8212  1 Nd 3.06, 1 La 3.22, 2 Ho 3.39
Ho8 0.0158 0.0316 0.0198  2 Nd 3.20, 2 La 3.36-3.44
Ho9 0.5167 0.0335 0.2401  2 Nd 3.11-3.25
Sc2 0.1987 0.3974 0.0132  2 La 3.38-3.58, 7 Ho 3.45-3.61, 2 Nd 3.61
La3 0.8842 0.7684 0.2330  1 Sc 3.38, 7 Ho 3.44-3.63, 2 Nd 3.74
La4 0.1141 0.2281 0.3135  8 Ho 3.22-3.55, 1 Sc 3.58
Ho10 0.9842 0.9684 0.5198  2 Nd 3.20, 2 La 3.36-3.44

***

Repeat the sixth record exactly.
This record from the Alexandria database describes crystalline Dy4Cd5In at its relaxed geometry. The functional is PBE.

Calculated values
space group = C2/m (12)
calculated formation energy = -329.6 meV per atom

Cell: 5.1676 6.4738 8.2393 Å, 103.99 108.28 90.00°
Closest atoms and distances in Å follow each position.
Atoms (fractional coordinates):
In1 0.5000 0.0000 0.0000  6 Dy 3.18-3.20, 2 Cd 3.24
Dy1 0.9030 0.1254 0.8061  6 Cd 3.10-3.38, 2 In 3.20
Cd1 0.2931 0.1802 0.5862  7 Dy 3.17-3.28, 3 Cd 3.37-3.51
Dy2 0.0970 0.8746 0.1939  6 Cd 3.10-3.38, 2 In 3.20
Cd2 0.5000 0.5000 0.0000  6 Cd 3.17-3.37, 2 In 3.24, 2 Dy 3.51
Dy3 0.6926 0.3159 0.3852  7 Cd 3.08-3.32, 1 In 3.18
Dy4 0.3074 0.6841 0.6148  7 Cd 3.08-3.32, 1 In 3.18
Cd3 0.7069 0.8198 0.4138  7 Dy 3.17-3.28, 3 Cd 3.37-3.51
Cd4 0.9011 0.6024 0.8021  6 Dy 3.08-3.38, 2 Cd 3.17
Cd5 0.0989 0.3976 0.1979  6 Dy 3.08-3.38, 2 Cd 3.17